# PSeBr2 PBE relaxed
# * total magnetization: 0.000 μB/atom
# * uncorrected formation energy: 0.94 eV per atom
# * crystal system: tetragonal
# * energy relative to the lowest polymorph listed for this composition: 23.12 kcal/mol of atoms
data_PSeBr2
_symmetry_space_group_name_H-M 'P 4/m m m'
_symmetry_Int_Tables_number 123
_symmetry_space_group_name_Hall '-P 4 2'
_cell_length_a 4.6396
_cell_length_b 4.6396
_cell_length_c 4.0541
_cell_angle_alpha 90.00
_cell_angle_beta 90.00
_cell_angle_gamma 90.00
loop_
_atom_site_label
_atom_site_fract_x
_atom_site_fract_y
_atom_site_fract_z
P1 0.0000 0.0000 0.0000
Se1 0.5000 0.5000 0.0000
Br1 0.0000 0.5000 0.5000